No. 1
Density functional theory data (PBE-GGA) for a relaxed structure of NbV2PdC.

Values from the calculation:
Formation energy from the elements: -0.243 eV/atom
E: -8.788 eV/atom
Space group: No. 123

a b c (Å): 3.9789 3.9789 4.3168
angles (deg): 90.00 90.00 90.00
Atoms (fractional coordinates):
V  0.5000  0.0000  0.0000
C  0.0000  0.0000  0.0000
V  0.0000  0.5000  0.0000
Nb  0.0000  0.0000  0.5000
Pd  0.5000  0.5000  0.5000

***

No. 2
Density functional theory data (PBE-GGA) for a relaxed structure of Nb2VPdC.

Values from the calculation:
Formation energy from the elements: -0.248 eV/atom
E: -8.983 eV/atom
Space group: No. 123

a b c (Å): 4.3261 4.3261 3.9281
angles (deg): 90.00 90.00 90.00
Atoms (fractional coordinates):
V  0.0000  0.0000  0.5000
Pd  0.5000  0.5000  0.5000
Nb  0.5000  0.0000  0.0000
Nb  0.0000  0.5000  0.0000
C  0.0000  0.0000  0.0000

***

No. 3
Density functional theory data (PBE-GGA) for a relaxed structure of NbPdW2C.

Values from the calculation:
Formation energy from the elements: 2.060 eV/atom
E: -8.019 eV/atom
Space group: No. 123

a b c (Å): 4.9385 3.6636 4.9385
angles (deg): 90.00 90.00 90.00
Atoms (fractional coordinates):
W  0.0000  0.0000  0.5000
Nb  0.5000  0.5000  0.5000
W  0.5000  0.0000  0.0000
Pd  0.0000  0.0000  0.0000
C  0.0000  0.5000  0.0000

***

No. 4
Density functional theory data (PBE-GGA) for a relaxed structure of PmNbC2.

Values from the calculation:
Formation energy from the elements: -0.230 eV/atom
E: -8.547 eV/atom
Space group: No. 166
Relative energy among the computed polymorphs: 0 meV/atom

a b c (Å): 3.3633 3.3633 6.0838
angles (deg): 73.95 73.95 60.00
Atoms (fractional coordinates):
Pm  0.5000  0.5000  0.5000
C  0.2635  0.2635  0.2095
C  0.7365  0.7365  0.7905
Nb  0.0000  0.0000  0.0000

***

No. 5
Density functional theory data (PBE-GGA) for a relaxed structure of PmNbC2.

Values from the calculation:
Formation energy from the elements: -0.023 eV/atom
E: -8.340 eV/atom
Space group: No. 160
Relative energy among the computed polymorphs: 207 meV/atom

a b c (Å): 3.3120 3.3120 6.3093
angles (deg): 74.78 74.78 60.00
Atoms (fractional coordinates):
C  0.0701  0.0701  0.7898
C  0.2657  0.2657  0.2030
Nb  0.6692  0.6692  0.9925
Pm  0.4951  0.4951  0.5147

***

No. 6
Density functional theory data (PBE-GGA) for a relaxed structure of Pm2Nb2C3.

Values from the calculation:
Formation energy from the elements: -0.320 eV/atom
E: -8.507 eV/atom
Space group: No. 12

a b c (Å): 3.4742 5.9560 6.3284
angles (deg): 109.90 105.93 90.00
Atoms (fractional coordinates):
Pm  0.6084  0.8277  0.2167
Nb  0.8476  0.6710  0.6952
C  0.2542  0.7258  0.5084
C  0.0000  0.0000  0.0000
Pm  0.3916  0.1723  0.7833
C  0.7458  0.2742  0.4916
Nb  0.1524  0.3290  0.3048

***

The lowest E belongs to which entry?
Nb2VPdC

***

Which formula does entry 5 have?
PmNbC2

***

formation energy from the elements of number 5 (PmNbC2)?
-0.023 eV/atom

***

What is the E in the fourth record?
-8.547 eV/atom